Compound: Ta2ZnAg
Source: Alexandria
Functional: PBE-GGA
Structure: relaxed

## Properties
Energy of formation from the pure elements in eV per atom: 0.21
V in Å³/atom: 17.5

Lattice parameters (Å, degrees): 3.402 3.402 6.049 90.00 90.00 90.00
Space group P4mm (No. 99)
One atom of each set of equivalent atoms:
Ta  0.000  0.000  0.000
Ta  0.500  0.500  0.226
Zn  0.000  0.000  0.480
Ag  0.500  0.500  0.711

=====

Compound: TaZnAg2
Source: Alexandria
Functional: PBE-GGA
Structure: relaxed

## Properties
Energy of formation from the pure elements in eV per atom: 0.31
V in Å³/atom: 17.3

Lattice parameters (Å, degrees): 2.804 5.003 9.876 90.00 90.00 90.00
Space group Imm2 (No. 44)
One atom of each set of equivalent atoms:
Ta  0.000  0.000  0.000
Zn  0.000  0.500  0.743
Ag  0.000  0.000  0.475
Ag  0.000  0.500  0.235

=====

Compound: TaZnAg2
Source: Alexandria
Functional: PBE-GGA
Structure: relaxed

## Properties
Energy of formation from the pure elements in eV per atom: 0.31
V in Å³/atom: 17.4

Lattice parameters (Å, degrees): 2.814 4.925 5.009 90.00 90.00 90.00
Space group Pmmm (No. 47)
One atom of each set of equivalent atoms:
Ta  0.000  0.000  0.000
Zn  0.500  0.500  0.000
Ag  0.000  0.500  0.500
Ag  0.500  0.000  0.500

=====

Compound: Ta2ZnAg
Source: Alexandria
Functional: PBE-GGA
Structure: relaxed

## Properties
Energy of formation from the pure elements in eV per atom: 0.23
V in Å³/atom: 17.0

Lattice parameters (Å, degrees): 4.039 4.039 4.170 90.00 90.00 90.00
Space group P4/mmm (No. 123)
One atom of each set of equivalent atoms:
Ta  0.000  0.500  0.000
Zn  0.000  0.000  0.500
Ag  0.500  0.500  0.500

=====

Number 1: total DFT energy (no corrections) -26.973 eV/cell, size of the total moment 0.00 μB per formula unit. Number 2: total DFT energy (no corrections) -35.164 eV/cell, size of the total moment 0.00 μB per formula unit. Number 3: total DFT energy (no corrections) -17.606 eV/cell, size of the total moment 0.00 μB per formula unit. Number 4: total DFT energy (no corrections) -26.908 eV/cell, size of the total moment 0.00 μB per formula unit.